Compound: In2CoBiPb
Source: Alexandria
Functional: PBE
Structure: relaxed

Lattice parameters (Å, degrees): 5.065 5.065 5.086 90.00 90.00 90.00
Fractional coordinates of all 5 atoms:
In 0.000 0.500 0.000
In 0.500 0.000 0.000
Co 0.000 0.000 0.000
Bi 0.500 0.500 0.500
Pb 0.000 0.000 0.500

Output
Offset from the most stable computed form, eV per formula unit: 0.00
SG: P4/mmm (123)
Energy of formation from the pure elements, kJ per mole of atoms: 17

---

Compound: InCo2BiRu
Source: Alexandria
Functional: PBE
Structure: relaxed

Lattice parameters (Å, degrees): 4.681 4.681 4.964 90.00 90.00 90.00
Fractional coordinates of all 5 atoms:
In 0.000 0.000 0.000
Co 0.000 0.500 0.000
Co 0.500 0.000 0.000
Bi 0.500 0.500 0.500
Ru 0.000 0.000 0.500

Output
SG: P4/mmm (123)
Energy of formation from the pure elements, kJ per mole of atoms: 134

---

Compound: ScIn2CoBi
Source: Alexandria
Functional: PBE
Structure: relaxed

Lattice parameters (Å, degrees): 5.004 5.004 4.745 90.00 90.00 90.00
Fractional coordinates of all 5 atoms:
Sc 0.000 0.000 0.000
In 0.000 0.500 0.500
In 0.500 0.000 0.500
Co 0.000 0.000 0.500
Bi 0.500 0.500 0.000

Output
SG: P4/mmm (123)
Energy of formation from the pure elements, kJ per mole of atoms: -9

---

Compound: CoBi3Ir
Source: Alexandria
Functional: PBE
Structure: relaxed

Lattice parameters (Å, degrees): 4.961 4.961 4.961 90.00 90.00 90.00
Fractional coordinates of all 5 atoms:
Co 0.000 0.000 0.000
Bi 0.000 0.000 0.500
Bi 0.000 0.500 0.000
Bi 0.500 0.000 0.000
Ir 0.500 0.500 0.500

Output
Offset from the most stable computed form, eV per formula unit: 0.00
SG: Pm-3m (221)
Energy of formation from the pure elements, kJ per mole of atoms: 76

---

Compound: CoBiIr3
Source: Alexandria
Functional: PBE
Structure: relaxed

Lattice parameters (Å, degrees): 4.557 4.557 4.557 90.00 90.00 90.00
Fractional coordinates of all 5 atoms:
Co 0.000 0.000 0.000
Bi 0.500 0.500 0.500
Ir 0.000 0.000 0.500
Ir 0.000 0.500 0.000
Ir 0.500 0.000 0.000

Output
Offset from the most stable computed form, eV per formula unit: 0.00
SG: Pm-3m (221)
Energy of formation from the pure elements, kJ per mole of atoms: 110

---

Compound: CoBiIr3
Source: Alexandria
Functional: PBE
Structure: relaxed

Lattice parameters (Å, degrees): 4.951 4.951 4.951 90.00 90.00 90.00
Fractional coordinates of all 5 atoms:
Co 0.000 0.000 0.000
Bi 0.500 0.500 0.500
Ir 0.000 0.500 0.500
Ir 0.500 0.000 0.500
Ir 0.500 0.500 0.000

Output
Offset from the most stable computed form, eV per formula unit: 6.57
SG: Pm-3m (221)
Energy of formation from the pure elements, kJ per mole of atoms: 237

---

Compound: CoBiMo2Ir
Source: Alexandria
Functional: PBE
Structure: relaxed

Lattice parameters (Å, degrees): 4.811 4.811 4.661 90.00 90.00 90.00
Fractional coordinates of all 5 atoms:
Co 0.000 0.000 0.000
Bi 0.500 0.500 0.000
Mo 0.000 0.500 0.500
Mo 0.500 0.000 0.500
Ir 0.000 0.000 0.500

Output
SG: P4/mmm (123)
Energy of formation from the pure elements, kJ per mole of atoms: 123

---

Compound: Co2BiMoIr
Source: Alexandria
Functional: PBE
Structure: relaxed

Lattice parameters (Å, degrees): 4.382 4.382 5.215 90.00 90.00 90.00
Fractional coordinates of all 5 atoms:
Co 0.000 0.500 0.000
Co 0.500 0.000 0.000
Bi 0.000 0.000 0.500
Mo 0.000 0.000 0.000
Ir 0.500 0.500 0.500

Output
SG: P4/mmm (123)
Energy of formation from the pure elements, kJ per mole of atoms: 162